DFT (GGA-PBE) results for a relaxed HoSi4Pd12 crystal.

The structure in CIF format:
```
data_HoSi4Pd12
_symmetry_space_group_name_H-M 'I m -3'
_symmetry_Int_Tables_number 204
_symmetry_space_group_name_Hall '-I 2 2 3'
_cell_length_a 8.3624
_cell_length_b 8.3624
_cell_length_c 8.3624
_cell_angle_alpha 90.00
_cell_angle_beta 90.00
_cell_angle_gamma 90.00
loop_
_atom_site_label
_atom_site_fract_x
_atom_site_fract_y
_atom_site_fract_z
_atom_site_occupancy
Ho1 0.0000 0.0000 0.0000 1
Si1 0.2500 0.2500 0.2500 1
Pd1 0.0000 0.3377 0.1646 1
```

Results
As for the total energy: -192.9 eV per cell. The value obtained for the total magnetization is 0.0 Bohr magnetons per cell.

DFT (GGA-PBE) results for a relaxed Ho2SiPd2 crystal.

The structure in CIF format:
```
data_Ho2SiPd2
_symmetry_space_group_name_H-M 'P n n m'
_symmetry_Int_Tables_number 58
_cell_length_a 7.4823
_cell_length_b 13.8898
_cell_length_c 4.1415
_cell_angle_alpha 90.00
_cell_angle_beta 90.00
_cell_angle_gamma 90.00
loop_
_symmetry_equiv_pos_as_xyz
'x,y,z'
'-x,-y,-z'
'-x,-y,z'
'x,y,-z'
'x+1/2,-y+1/2,-z+1/2'
'-x+1/2,y+1/2,z+1/2'
'-x+1/2,y+1/2,-z+1/2'
'x+1/2,-y+1/2,z+1/2'
loop_
_atom_site_label
_atom_site_fract_x
_atom_site_fract_y
_atom_site_fract_z
_atom_site_occupancy
Ho1 0.0276 0.1255 0.0000 1
Ho2 0.0458 0.6310 0.0000 1
Si1 0.1543 0.4720 0.5000 1
Pd1 0.1669 0.2769 0.5000 1
Pd2 0.1797 0.9884 0.5000 1
```

Results
As for the total energy: -115.8 eV per cell. The value obtained for the total magnetization is 0.0 Bohr magnetons per cell.

DFT (GGA-PBE) results for a relaxed HoSi6Pd12 crystal.

The structure in CIF format:
```
data_HoSi6Pd12
_symmetry_space_group_name_H-M 'R -3 m'
_symmetry_Int_Tables_number 166
_symmetry_space_group_name_Hall '-R 3 2"'
_cell_length_a 11.2938
_cell_length_b 11.2938
_cell_length_c 8.2974
_cell_angle_alpha 90.00
_cell_angle_beta 90.00
_cell_angle_gamma 120.00
loop_
_atom_site_label
_atom_site_fract_x
_atom_site_fract_y
_atom_site_fract_z
_atom_site_occupancy
Ho1 0.0000 0.0000 0.0000 1
Si1 0.0404 0.5202 0.2669 1
Pd1 0.0000 0.3757 0.5000 1
Pd2 0.0863 0.1726 0.3420 1
```

Results
As for the total energy: -334.2 eV per cell. The value obtained for the total magnetization is 0.0 Bohr magnetons per cell.

DFT (GGA-PBE) results for a relaxed HoSi2Pd crystal.

The structure in CIF format:
```
data_HoSi2Pd
_symmetry_space_group_name_H-M 'A m m 2'
_symmetry_Int_Tables_number 38
_cell_length_a 3.8580
_cell_length_b 6.1551
_cell_length_c 6.8621
_cell_angle_alpha 90.00
_cell_angle_beta 90.00
_cell_angle_gamma 90.00
loop_
_symmetry_equiv_pos_as_xyz
'x,y,z'
'-x,-y,z'
'-x,y,z'
'x,-y,z'
'x,y+1/2,z+1/2'
'-x,-y+1/2,z+1/2'
'-x,y+1/2,z+1/2'
'x,-y+1/2,z+1/2'
loop_
_atom_site_label
_atom_site_fract_x
_atom_site_fract_y
_atom_site_fract_z
_atom_site_occupancy
Ho1 0.0000 0.0000 0.0000 1
Si1 0.5000 0.1827 0.6980 1
Pd1 0.5000 0.0000 0.3822 1
```

Results
As for the total energy: -45.2 eV per cell. The value obtained for the total magnetization is 0.0 Bohr magnetons per cell.

DFT (GGA-PBE) results for a relaxed Ho2Si2Pd3 crystal.

The structure in CIF format:
```
data_Ho2Si2Pd3
_symmetry_space_group_name_H-M 'C 1 2/m 1'
_symmetry_Int_Tables_number 12
_cell_length_a 10.2676
_cell_length_b 3.8758
_cell_length_c 6.9999
_cell_angle_alpha 90.00
_cell_angle_beta 114.51
_cell_angle_gamma 90.00
loop_
_symmetry_equiv_pos_as_xyz
'x,y,z'
'-x,-y,-z'
'-x,y,-z'
'x,-y,z'
'x+1/2,y+1/2,z'
'-x+1/2,-y+1/2,-z'
'-x+1/2,y+1/2,-z'
'x+1/2,-y+1/2,z'
loop_
_atom_site_label
_atom_site_fract_x
_atom_site_fract_y
_atom_site_fract_z
_atom_site_occupancy
Ho1 0.1330 0.0000 0.2705 1
Si1 0.1525 0.0000 0.7187 1
Pd1 0.0000 0.5000 0.5000 1
Pd2 0.1271 0.5000 0.9366 1
```

Results
As for the total energy: -84.2 eV per cell. The value obtained for the total magnetization is 0.0 Bohr magnetons per cell.

DFT (GGA-PBE) results for a relaxed HoSiPd6 crystal.

The structure in CIF format:
```
data_HoSiPd6
_symmetry_space_group_name_H-M 'R -3 m'
_symmetry_Int_Tables_number 166
_symmetry_space_group_name_Hall '-R 3 2"'
_cell_length_a 5.5937
_cell_length_b 5.5937
_cell_length_c 17.1849
_cell_angle_alpha 90.00
_cell_angle_beta 90.00
_cell_angle_gamma 120.00
loop_
_atom_site_label
_atom_site_fract_x
_atom_site_fract_y
_atom_site_fract_z
_atom_site_occupancy
Ho1 0.0000 0.0000 0.0000 1
Si1 0.0000 0.0000 0.5000 1
Pd1 0.0142 0.5071 0.9225 1
```

Results
As for the total energy: -133.2 eV per cell. The value obtained for the total magnetization is 0.0 Bohr magnetons per cell.

What is the formula in the first record? HoSi4Pd12